First-principles (PBE-GGA) data for a relaxed structure of Li3Ac2PuS6, as listed in Alexandria.

Results
ρ: 5.22 Mg/m³
Magnetization: 5.00 μB per formula unit
E_form (uncorrected): -1.6783 eV/atom

Unit cell a=7.4080 b=7.4080 c=6.5626 alpha=98.85 beta=98.85 gamma=121.93
Fractional coordinates of all 12 atoms:
1 Li 0.0000 0.0000 0.0000
2 Li 0.3732 0.6268 0.0000
3 Li 0.6268 0.3732 0.0000
4 Ac 0.1696 0.8304 0.5000
5 Ac 0.8304 0.1696 0.5000
6 Pu 0.5000 0.5000 0.5000
7 S 0.1172 0.4270 0.2449
8 S 0.2517 0.2517 0.7538
9 S 0.4270 0.1172 0.2449
10 S 0.5730 0.8828 0.7551
11 S 0.7483 0.7483 0.2462
12 S 0.8828 0.5730 0.7551